# 1
# K2RhCl

A relaxed K2RhCl crystal (PBE, Alexandria via LeMat-Bulk).

Structure (POSCAR):
```
K2RhCl
1.0
3.8011 -4.3262 0.0000
3.8011 4.3262 0.0000
0.0000 0.0000 3.4073
K Rh Cl
2 1 1
direct
0.0000 0.5000 0.0000
0.5000 0.0000 0.0000
0.0000 0.0000 0.5000
0.5000 0.5000 0.5000
```

Values from the calculation:
**Volume**: 28.0 A^3/atom
**Total magnetic moment**: 1.28 μB/f.u.
**Excess energy over the best structure of this formula in the dataset**: 153 meV/atom
**DOS at the Fermi energy**: 2.94 states/eV per cell
**Formation energy from raw total energies**: -174 meV per atom
**Space group**: Cmmm, No. 65

# 2
# DyHgRh

A relaxed DyHgRh crystal (PBE, Alexandria via LeMat-Bulk).

Structure (POSCAR):
```
DyHgRh
1.0
13.0396 0.0000 0.0000
0.0000 3.7812 0.0000
0.0000 0.0000 7.8063
Dy Hg Rh
6 6 6
direct
0.0502 0.0000 0.2188
0.2500 0.0000 0.8133
0.4498 0.0000 0.2188
0.5502 0.0000 0.7812
0.7500 0.0000 0.1867
0.9498 0.0000 0.7812
0.1084 0.5000 0.5636
0.2500 0.5000 0.1734
0.3916 0.5000 0.5636
0.6084 0.5000 0.4364
0.7500 0.5000 0.8266
0.8916 0.5000 0.4364
0.0958 0.5000 0.9280
0.2500 0.0000 0.4360
0.4042 0.5000 0.9280
0.5958 0.5000 0.0720
0.7500 0.0000 0.5640
0.9042 0.5000 0.0720
```

Values from the calculation:
**Volume**: 21.4 A^3/atom
**Total magnetic moment**: 0.00 μB/f.u.
**DOS at the Fermi energy**: 10.67 states/eV per cell
**Space group**: Pmma, No. 51
**Energy of formation**: -0.60 eV per atom

# 3
# PrHo2Rh3

A relaxed PrHo2Rh3 crystal (PBE, Alexandria via LeMat-Bulk).

Structure (POSCAR):
```
PrHo2Rh3
1.0
3.4505 0.0000 0.0000
0.0000 3.4505 0.0000
0.0000 0.0000 10.4647
Pr Ho Rh
1 2 3
direct
0.0000 0.0000 0.0000
0.0000 0.0000 0.3378
0.0000 0.0000 0.6622
0.5000 0.5000 0.1816
0.5000 0.5000 0.5000
0.5000 0.5000 0.8184
```

Values from the calculation:
**Volume**: 20.8 A^3/atom
**Total magnetic moment**: 0.00 μB/f.u.
**Excess energy over the best structure of this formula in the dataset**: 0 meV/atom
**DOS at the Fermi energy**: 3.99 states/eV per cell
**Space group**: P4/mmm, No. 123
**Energy of formation**: -0.79 eV per atom

Question: total magnetic moment of number 2 (DyHgRh)?
Answer: 0.00 μB/f.u.

Copy entry 2 word for word.
# DyHgRh

A relaxed DyHgRh crystal (PBE, Alexandria via LeMat-Bulk).

Structure (POSCAR):
```
DyHgRh
1.0
13.0396 0.0000 0.0000
0.0000 3.7812 0.0000
0.0000 0.0000 7.8063
Dy Hg Rh
6 6 6
direct
0.0502 0.0000 0.2188
0.2500 0.0000 0.8133
0.4498 0.0000 0.2188
0.5502 0.0000 0.7812
0.7500 0.0000 0.1867
0.9498 0.0000 0.7812
0.1084 0.5000 0.5636
0.2500 0.5000 0.1734
0.3916 0.5000 0.5636
0.6084 0.5000 0.4364
0.7500 0.5000 0.8266
0.8916 0.5000 0.4364
0.0958 0.5000 0.9280
0.2500 0.0000 0.4360
0.4042 0.5000 0.9280
0.5958 0.5000 0.0720
0.7500 0.0000 0.5640
0.9042 0.5000 0.0720
```

Values from the calculation:
**Volume**: 21.4 A^3/atom
**Total magnetic moment**: 0.00 μB/f.u.
**DOS at the Fermi energy**: 10.67 states/eV per cell
**Space group**: Pmma, No. 51
**Energy of formation**: -0.60 eV per atom

Question: Which value of volume does entry 1 give?
Answer: 28.0 A^3/atom